Al3P after structural relaxation. Source: Alexandria, functional PBEsol.

Summary:
Its total magnetization is 0.00 μB per formula unit. As for the energy of formation from the pure elements: 0.116 eV/f.u. As for the distance to the lowest polymorph of the same formula: 0.12 eV/f.u.

Lattice parameters (Å, degrees): 3.1792 3.1792 6.2541 90.00 90.00 90.00
Last column: nearest neighbours and their distance in Å.
Atoms (fractional coordinates):
P  0.5000  0.5000  0.0000  8 Al 2.62
Al  0.5000  0.5000  0.5000  12 Al 2.86-3.18, 2 P 3.13
Al  0.0000  0.0000  0.7833  4 P 2.62, 5 Al 2.71-2.86
Al  0.0000  0.0000  0.2167  4 P 2.62, 5 Al 2.71-2.86

Al5P after structural relaxation. Source: Alexandria, functional PBEsol.

Summary:
Its total magnetization is 0.00 μB per formula unit. As for the energy of formation from the pure elements: 1.815 eV/f.u.

Lattice parameters (Å, degrees): 5.2265 5.2265 5.2265 60.00 60.00 60.00
Last column: nearest neighbours and their distance in Å.
Atoms (fractional coordinates):
Al  0.3751  0.3751  0.3751  6 Al 2.61
Al  0.3751  0.8748  0.3751  6 Al 2.61
P  0.0000  0.0000  0.0000  16 Al 3.06-3.20
Al  0.3751  0.3751  0.8748  6 Al 2.61
Al  0.8748  0.3751  0.3751  6 Al 2.61
Al  0.7500  0.7500  0.7500  12 Al 3.06, 4 P 3.20

AlP after structural relaxation. Source: Alexandria, functional PBEsol.

Summary:
Its total magnetization is 0.00 μB per formula unit. As for the energy of formation from the pure elements: -0.547 eV/f.u.

Lattice parameters (Å, degrees): 3.8474 3.8474 6.9164 73.85 73.85 60.00
Last column: nearest neighbours and their distance in Å.
Atoms (fractional coordinates):
P  0.5565  0.5565  0.3306  1 P 2.22, 3 Al 2.38
Al  0.9339  0.9339  0.1983  3 P 2.38, 1 Al 2.60
Al  0.0661  0.0661  0.8017  3 P 2.38, 1 Al 2.60
P  0.4435  0.4435  0.6694  1 P 2.22, 3 Al 2.38

- Look up the total magnetization of the third one.
  0.00 μB per formula unit